Entry 1:
# Sr3CaRh (PBE, relaxed)
data_Sr3CaRh
_chemical_formula_sum 'Sr12 Ca4 Rh4'
_space_group_name_H-M_alt 'I -4 m 2'
_space_group_IT_number 119
_space_group_name_Hall 'I -4 -2'
_cell_length_a 6.515
_cell_length_b 6.515
_cell_length_c 20.743
_cell_angle_alpha 90.00
_cell_angle_beta 90.00
_cell_angle_gamma 90.00
loop_
_atom_site_label
_atom_site_type_symbol
_atom_site_fract_x
_atom_site_fract_y
_atom_site_fract_z
Sr1 Sr 0.000 0.000 0.210
Sr2 Sr 0.000 0.250 0.623
Ca1 Ca 0.000 0.500 0.039
Rh1 Rh 0.000 0.000 0.500
Rh2 Rh 0.000 0.500 0.750
# energy relative to the lowest polymorph listed for this composition = 0.3361 eV/atom
# formation energy from the elements = 136 meV per atom

Entry 2:
# PrMg2AlHg4 (PBE, relaxed)
data_PrMg2AlHg4
_chemical_formula_sum 'Pr3 Mg6 Al3 Hg12'
_space_group_name_H-M_alt 'R -3 m'
_space_group_IT_number 166
_space_group_name_Hall '-R 3 2"'
_cell_length_a 4.8659
_cell_length_b 4.8659
_cell_length_c 27.2078
_cell_angle_alpha 90.00
_cell_angle_beta 90.00
_cell_angle_gamma 120.00
loop_
_atom_site_label
_atom_site_type_symbol
_atom_site_fract_x
_atom_site_fract_y
_atom_site_fract_z
Pr1 Pr 0.0000 0.0000 0.0000
Mg1 Mg 0.0000 0.0000 0.2411
Al1 Al 0.0000 0.0000 0.5000
Hg1 Hg 0.0000 0.0000 0.1270
Hg2 Hg 0.0000 0.0000 0.3903
# formation energy from the elements = -250 meV per atom

Entry 3:
# Pr3Ga2Ni2 (PBE, relaxed)
data_Pr3Ga2Ni2
_chemical_formula_sum 'Pr6 Ga4 Ni4'
_space_group_name_H-M_alt 'I m m m'
_space_group_IT_number 71
_space_group_name_Hall '-I 2 2'
_cell_length_a 4.092
_cell_length_b 4.422
_cell_length_c 18.172
_cell_angle_alpha 90.00
_cell_angle_beta 90.00
_cell_angle_gamma 90.00
loop_
_atom_site_label
_atom_site_type_symbol
_atom_site_fract_x
_atom_site_fract_y
_atom_site_fract_z
Pr1 Pr 0.000 0.000 0.000
Pr2 Pr 0.000 0.500 0.177
Ga1 Ga 0.000 0.500 0.366
Ni1 Ni 0.000 0.000 0.433
# energy relative to the lowest polymorph listed for this composition = 0.0237 eV/atom
# formation energy from the elements = -459 meV per atom

Entry 4:
# ScIr3O (PBE, relaxed)
data_ScIr3O
_chemical_formula_sum 'Sc1 Ir3 O1'
_space_group_name_H-M_alt 'P m -3 m'
_space_group_IT_number 221
_space_group_name_Hall '-P 4 2 3'
_cell_length_a 4.189
_cell_length_b 4.189
_cell_length_c 4.189
_cell_angle_alpha 90.00
_cell_angle_beta 90.00
_cell_angle_gamma 90.00
loop_
_atom_site_label
_atom_site_type_symbol
_atom_site_fract_x
_atom_site_fract_y
_atom_site_fract_z
Sc1 Sc 0.000 0.000 0.000
Ir1 Ir 0.000 0.500 0.500
O1 O 0.500 0.500 0.500
# energy relative to the lowest polymorph listed for this composition = 0.0000 eV/atom

Entry 5:
# Cr5Te8 (PBE, relaxed)
data_Cr5Te8
_chemical_formula_sum 'Cr5 Te8'
_space_group_name_H-M_alt 'P -3 m 1'
_space_group_IT_number 164
_space_group_name_Hall '-P 3 2"'
_cell_length_a 7.8773
_cell_length_b 7.8773
_cell_length_c 6.1536
_cell_angle_alpha 90.00
_cell_angle_beta 90.00
_cell_angle_gamma 120.00
loop_
_atom_site_label
_atom_site_type_symbol
_atom_site_fract_x
_atom_site_fract_y
_atom_site_fract_z
Cr1 Cr 0.0000 0.0000 0.0000
Cr2 Cr 0.0000 0.0000 0.5000
Cr3 Cr 0.0000 0.5000 0.0000
Te1 Te 0.1676 0.3353 0.2486
Te2 Te 0.3333 0.6667 0.7589
# energy relative to the lowest polymorph listed for this composition = 0.0104 eV/atom

Entry 6:
# In8Hg2Sb (PBE, relaxed)
data_In8Hg2Sb
_chemical_formula_sum 'In8 Hg2 Sb1'
_space_group_name_H-M_alt 'P 4/m m m'
_space_group_IT_number 123
_space_group_name_Hall '-P 4 2'
_cell_length_a 4.718
_cell_length_b 4.718
_cell_length_c 13.886
_cell_angle_alpha 90.00
_cell_angle_beta 90.00
_cell_angle_gamma 90.00
loop_
_atom_site_label
_atom_site_type_symbol
_atom_site_fract_x
_atom_site_fract_y
_atom_site_fract_z
In1 In 0.000 0.000 0.178
In2 In 0.000 0.500 0.000
In3 In 0.000 0.500 0.345
Hg1 Hg 0.500 0.500 0.170
Sb1 Sb 0.500 0.500 0.500
# uncorrected energy = -2.40 eV per atom

Entry 7:
# InCoH3 (PBE, relaxed)
data_InCoH3
_chemical_formula_sum 'In4 Co4 H12'
_space_group_name_H-M_alt 'C 1 2/m 1'
_space_group_IT_number 12
_cell_length_a 8.424
_cell_length_b 4.776
_cell_length_c 4.968
_cell_angle_alpha 90.00
_cell_angle_beta 109.40
_cell_angle_gamma 90.00
loop_
_space_group_symop_operation_xyz
'x,y,z'
'-x,-y,-z'
'-x,y,-z'
'x,-y,z'
'x+1/2,y+1/2,z'
'-x+1/2,-y+1/2,-z'
'-x+1/2,y+1/2,-z'
'x+1/2,-y+1/2,z'
loop_
_atom_site_label
_atom_site_type_symbol
_atom_site_fract_x
_atom_site_fract_y
_atom_site_fract_z
In1 In 0.119 0.000 0.314
Co1 Co 0.223 0.000 0.876
H1 H 0.145 0.310 0.860
H2 H 0.157 0.500 0.306
# uncorrected energy = -3.92 eV per atom

Entry 8:
# PrEr2TiN4 (PBE, relaxed)
data_PrEr2TiN4
_chemical_formula_sum 'Pr4 Er8 Ti4 N16'
_space_group_name_H-M_alt 'C m c m'
_space_group_IT_number 63
_space_group_name_Hall '-C 2c 2'
_cell_length_a 3.412
_cell_length_b 11.808
_cell_length_c 11.781
_cell_angle_alpha 90.00
_cell_angle_beta 90.00
_cell_angle_gamma 90.00
loop_
_atom_site_label
_atom_site_type_symbol
_atom_site_fract_x
_atom_site_fract_y
_atom_site_fract_z
Pr1 Pr 0.000 0.096 0.250
Er1 Er 0.000 0.371 0.039
Ti1 Ti 0.000 0.167 0.750
N1 N 0.000 0.000 0.000
N2 N 0.000 0.261 0.621
N3 N 0.000 0.428 0.250
# uncorrected energy = -8.39 eV per atom

Entry 9:
# Ir5PdRh8 (PBE, relaxed)
data_Ir5PdRh8
_chemical_formula_sum 'Ir10 Pd2 Rh16'
_space_group_name_H-M_alt 'I -4'
_space_group_IT_number 82
_cell_length_a 7.538
_cell_length_b 7.538
_cell_length_c 7.592
_cell_angle_alpha 90.00
_cell_angle_beta 90.00
_cell_angle_gamma 90.00
loop_
_space_group_symop_operation_xyz
'x,y,z'
'y,-x,-z'
'-x,-y,z'
'-y,x,-z'
'x+1/2,y+1/2,z+1/2'
'y+1/2,-x+1/2,-z+1/2'
'-x+1/2,-y+1/2,z+1/2'
'-y+1/2,x+1/2,-z+1/2'
loop_
_atom_site_label
_atom_site_type_symbol
_atom_site_fract_x
_atom_site_fract_y
_atom_site_fract_z
Ir1 Ir 0.000 0.000 0.000
Ir2 Ir 0.106 0.697 0.335
Pd1 Pd 0.000 0.500 0.750
Rh1 Rh 0.070 0.841 0.667
Rh2 Rh 0.117 0.689 0.997
# formation energy from the elements = 392 meV per atom

Entry 10:
# Ti2CdCu (PBE, relaxed)
data_Ti2CdCu
_chemical_formula_sum 'Ti8 Cd4 Cu4'
_space_group_name_H-M_alt 'I -4 2 d'
_space_group_IT_number 122
_space_group_name_Hall 'I -4 2bw'
_cell_length_a 7.427
_cell_length_b 7.427
_cell_length_c 5.125
_cell_angle_alpha 90.00
_cell_angle_beta 90.00
_cell_angle_gamma 90.00
loop_
_atom_site_label
_atom_site_type_symbol
_atom_site_fract_x
_atom_site_fract_y
_atom_site_fract_z
Ti1 Ti 0.217 0.750 0.125
Cd1 Cd 0.000 0.000 0.500
Cu1 Cu 0.000 0.000 0.000
# formation energy from the elements = 351 meV per atom

Entry 11:
# Cs2GaCuCl6 (PBE, relaxed)
data_Cs2GaCuCl6
_chemical_formula_sum 'Cs2 Ga1 Cu1 Cl6'
_space_group_name_H-M_alt 'P -3 m 1'
_space_group_IT_number 164
_space_group_name_Hall '-P 3 2"'
_cell_length_a 7.3658
_cell_length_b 7.3658
_cell_length_c 6.2221
_cell_angle_alpha 90.00
_cell_angle_beta 90.00
_cell_angle_gamma 120.00
loop_
_atom_site_label
_atom_site_type_symbol
_atom_site_fract_x
_atom_site_fract_y
_atom_site_fract_z
Cs1 Cs 0.3333 0.6667 0.2528
Ga1 Ga 0.0000 0.0000 0.5000
Cu1 Cu 0.0000 0.0000 0.0000
Cl1 Cl 0.1521 0.3041 0.7294
# energy relative to the lowest polymorph listed for this composition = 0.0000 eV/atom

Entry 12:
# TlSe2Br (PBE, relaxed)
data_TlSe2Br
_chemical_formula_sum 'Tl2 Se4 Br2'
_space_group_name_H-M_alt 'C 1 m 1'
_space_group_IT_number 8
_cell_length_a 7.186
_cell_length_b 4.840
_cell_length_c 8.269
_cell_angle_alpha 90.00
_cell_angle_beta 105.99
_cell_angle_gamma 90.00
loop_
_space_group_symop_operation_xyz
'x,y,z'
'x,-y,z'
'x+1/2,y+1/2,z'
'x+1/2,-y+1/2,z'
loop_
_atom_site_label
_atom_site_type_symbol
_atom_site_fract_x
_atom_site_fract_y
_atom_site_fract_z
Tl1 Tl 0.000 0.000 0.000
Se1 Se 0.252 0.500 0.338
Se2 Se 0.473 0.000 0.421
Br1 Br 0.289 0.000 0.792
# energy relative to the lowest polymorph listed for this composition = 0.0185 eV/atom